(1)
Density functional theory data (GGA-PBE) for an optimized crystal structure of YPuSb2.

a b c (Å): 4.361 4.361 7.626
angles (deg): 90.00 90.00 120.00
Site moments in Bohr magnetons follow the coordinates.
Fractional positions:
1 Y 0.000 0.500 0.500  -0.02
2 Sb 0.333 0.167 0.252  -0.09
3 Pu 0.000 0.500 0.000  5.22
4 Sb 0.667 0.833 0.748  -0.09

## Properties
- magnetization (μB/f.u.) = 5.13
- uncorrected formation energy (eV per formula unit) = -3.095
- electronic total energy (eV/atom) = -8.03
- ΔE to the lowest computed polymorph (eV/atom) = 0.107
- SG = P-3m1 (164)

(2)
Density functional theory data (GGA-PBE) for an optimized crystal structure of Pu6ZnSb2.

a b c (Å): 3.348 8.807 8.807
angles (deg): 120.00 90.00 90.00
Site moments in Bohr magnetons follow the coordinates.
Fractional positions:
1 Zn 0.000 0.000 0.000  -0.04
2 Pu 0.500 0.332 0.000  5.79
3 Pu 0.500 0.668 0.000  5.79
4 Sb 0.000 0.333 0.667  -0.10
5 Pu 0.500 0.668 0.668  5.79
6 Pu 0.500 0.000 0.668  5.79
7 Pu 0.500 0.000 0.332  5.79
8 Pu 0.500 0.332 0.332  5.79
9 Sb 0.000 0.667 0.333  -0.10

## Properties
- magnetization (μB/f.u.) = 36.27
- uncorrected formation energy (eV per formula unit) = -0.598
- electronic total energy (eV/atom) = -10.68
- SG = P6/mmm (191)

(3)
Density functional theory data (GGA-PBE) for an optimized crystal structure of Pu3Zn2Sb4.

a b c (Å): 4.613 6.875 8.207
angles (deg): 111.88 106.32 90.00
Site moments in Bohr magnetons follow the coordinates.
Fractional positions:
1 Pu 0.128 0.635 0.256  5.46
2 Zn 0.660 0.997 0.320  0.02
3 Zn 0.340 0.003 0.680  0.02
4 Sb 0.519 0.304 0.039  -0.05
5 Sb 0.481 0.696 0.961  -0.05
6 Pu 0.000 0.000 0.000  5.33
7 Sb 0.216 0.235 0.431  -0.06
8 Sb 0.784 0.765 0.569  -0.06
9 Pu 0.872 0.365 0.744  5.46

## Properties
- magnetization (μB/f.u.) = 17.05
- uncorrected formation energy (eV per formula unit) = -3.999
- electronic total energy (eV/atom) = -7.34
- SG = C2/m (12)

(4)
Density functional theory data (GGA-PBE) for an optimized crystal structure of PuZn2Sb.

a b c (Å): 4.590 4.341 4.341
angles (deg): 90.00 90.00 90.00
Site moments in Bohr magnetons follow the coordinates.
Fractional positions:
1 Sb 0.500 0.000 0.000  0.06
2 Zn 0.000 0.500 0.000  -0.02
3 Zn 0.000 0.000 0.500  -0.02
4 Pu 0.500 0.500 0.500  -5.21

## Properties
- magnetization (μB/f.u.) = 5.46
- uncorrected formation energy (eV per formula unit) = -1.073
- electronic total energy (eV/atom) = -5.52
- SG = P4/mmm (123)

(5)
Density functional theory data (GGA-PBE) for an optimized crystal structure of PuZr3Sb2.

a b c (Å): 4.016 10.010 9.432
angles (deg): 126.27 90.00 101.57
Site moments in Bohr magnetons follow the coordinates.
Fractional positions:
1 Sb 0.751 0.501 0.231  -0.02
2 Zr 0.316 0.631 0.524  -0.10
3 Zr 0.342 0.684 0.174  -0.04
4 Pu 0.897 0.794 0.878  5.31
5 Sb 0.503 0.006 0.809  -0.05
6 Zr 0.684 0.369 0.476  -0.10
7 Zr 0.658 0.316 0.826  -0.04
8 Zr 0.057 0.114 0.462  -0.02
9 Pu 0.103 0.206 0.122  5.31
10 Sb 0.497 0.994 0.191  -0.05
11 Sb 0.249 0.499 0.769  -0.02
12 Zr 0.943 0.886 0.538  -0.02

## Properties
- magnetization (μB/f.u.) = 5.33
- uncorrected formation energy (eV per formula unit) = -2.607
- electronic total energy (eV/atom) = -8.47
- SG = C2/m (12)

(6)
Density functional theory data (GGA-PBE) for an optimized crystal structure of PuZrSb.

a b c (Å): 4.773 4.127 7.772
angles (deg): 74.62 90.00 90.00
Site moments in Bohr magnetons follow the coordinates.
Fractional positions:
1 Pu 0.610 0.692 0.418  5.51
2 Sb 0.610 0.011 0.779  -0.05
3 Sb 0.110 0.234 0.333  -0.05
4 Pu 0.110 0.553 0.695  5.51
5 Zr 0.610 0.366 0.070  -0.09
6 Zr 0.110 0.880 0.043  -0.09

## Properties
- magnetization (μB/f.u.) = 5.64
- uncorrected formation energy (eV per formula unit) = -1.632
- electronic total energy (eV/atom) = -9.54
- SG = Cmcm (63)

(7)
Density functional theory data (GGA-PBE) for an optimized crystal structure of PuZr2Sb.

a b c (Å): 4.284 4.619 4.619
angles (deg): 90.00 90.00 90.00
Site moments in Bohr magnetons follow the coordinates.
Fractional positions:
1 Pu 0.500 0.500 0.500  5.22
2 Sb 0.500 0.000 0.000  -0.04
3 Zr 0.000 0.000 0.500  0.11
4 Zr 0.000 0.500 0.000  0.11

## Properties
- magnetization (μB/f.u.) = 5.72
- uncorrected formation energy (eV per formula unit) = -1.414
- electronic total energy (eV/atom) = -9.24
- ΔE to the lowest computed polymorph (eV/atom) = 0.000
- SG = P4/mmm (123)

(8)
Density functional theory data (GGA-PBE) for an optimized crystal structure of Pu3ZrSb4.

a b c (Å): 7.522 7.549 8.684
angles (deg): 90.00 90.00 109.48
Site moments in Bohr magnetons follow the coordinates.
Fractional positions:
1 Sb 0.000 0.762 0.882  0.03
2 Pu 0.750 0.500 0.626  -5.29
3 Sb 0.007 0.757 0.368  0.02
4 Sb 0.507 0.757 0.632  0.02
5 Sb 0.493 0.243 0.368  0.02
6 Zr 0.750 0.000 0.877  0.01
7 Sb 0.500 0.238 0.882  0.03
8 Zr 0.250 0.000 0.123  0.01
9 Pu 0.750 0.500 0.124  -5.27
10 Pu 0.750 0.000 0.374  5.26
11 Sb 0.000 0.238 0.118  0.03
12 Sb 0.500 0.762 0.118  0.03
13 Pu 0.250 0.500 0.374  -5.29
14 Pu 0.250 0.500 0.876  -5.27
15 Sb 0.993 0.243 0.632  0.02
16 Pu 0.250 0.000 0.626  5.26

## Properties
- magnetization (μB/f.u.) = 5.41
- uncorrected formation energy (eV per formula unit) = -4.921
- electronic total energy (eV/atom) = -9.12
- SG = P2/c (13)

(9)
Density functional theory data (GGA-PBE) for an optimized crystal structure of PuZr2Sb.

a b c (Å): 5.050 5.050 5.051
angles (deg): 60.00 60.00 60.00
Site moments in Bohr magnetons follow the coordinates.
Fractional positions:
1 Zr 0.250 0.250 0.250  0.40
2 Pu 0.000 0.000 0.000  5.66
3 Sb 0.500 0.500 0.500  -0.04
4 Zr 0.750 0.750 0.750  0.40

## Properties
- magnetization (μB/f.u.) = 7.03
- uncorrected formation energy (eV per formula unit) = -0.919
- electronic total energy (eV/atom) = -9.12
- ΔE to the lowest computed polymorph (eV/atom) = 0.124
- SG = Fm-3m (225)

(10)
Density functional theory data (GGA-PBE) for an optimized crystal structure of PuZrSb.

a b c (Å): 3.878 3.878 5.616
angles (deg): 110.20 110.20 90.00
Site moments in Bohr magnetons follow the coordinates.
Fractional positions:
1 Pu 0.008 0.008 0.016  5.38
2 Zr 0.313 0.313 0.626  0.14
3 Sb 0.679 0.679 0.358  -0.03

## Properties
- magnetization (μB/f.u.) = 5.91
- uncorrected formation energy (eV per formula unit) = -0.974
- electronic total energy (eV/atom) = -9.33
- SG = I4mm (107)

(11)
Density functional theory data (GGA-PBE) for an optimized crystal structure of PuZrSb.

a b c (Å): 3.649 4.965 4.965
angles (deg): 120.00 90.00 90.00
Site moments in Bohr magnetons follow the coordinates.
Fractional positions:
1 Zr 0.165 0.333 0.667  0.15
2 Sb 0.168 0.000 0.000  -0.05
3 Pu 0.667 0.667 0.333  5.42

## Properties
- magnetization (μB/f.u.) = 5.97
- uncorrected formation energy (eV per formula unit) = -0.541
- electronic total energy (eV/atom) = -9.18
- SG = P3m1 (156)

(12)
Density functional theory data (GGA-PBE) for an optimized crystal structure of Pu2Sc13.

a b c (Å): 6.080 8.160 8.189
angles (deg): 113.91 81.07 98.55
Site moments in Bohr magnetons follow the coordinates.
Fractional positions:
1 Sc 0.327 0.046 0.651  0.05
2 Sc 0.714 0.622 0.025  -0.08
3 Sc 0.102 0.558 0.742  0.08
4 Sc 0.400 0.600 0.398  0.05
5 Sc 0.798 0.214 0.818  0.01
6 Sc 0.673 0.954 0.349  0.05
7 Pu 0.086 0.194 0.432  5.55
8 Sc 0.600 0.400 0.602  0.05
9 Sc 0.000 0.000 0.000  0.03
10 Sc 0.286 0.378 0.975  -0.08
11 Sc 0.898 0.442 0.258  0.08
12 Pu 0.914 0.806 0.568  5.55
13 Sc 0.508 0.828 0.833  0.04
14 Sc 0.492 0.172 0.167  0.04
15 Sc 0.202 0.786 0.182  0.01

## Properties
- magnetization (μB/f.u.) = 12.35
- electronic total energy (eV/atom) = -7.32
- energy of formation from the pure elements (meV/atom) = 80
- SG = P-1 (2)

(13)
Density functional theory data (GGA-PBE) for an optimized crystal structure of PuSc3.

a b c (Å): 3.238 5.752 6.207
angles (deg): 117.60 105.12 90.00
Site moments in Bohr magnetons follow the coordinates.
Fractional positions:
1 Sc 0.249 0.578 0.498  0.10
2 Pu 0.000 0.004 0.000  5.53
3 Sc 0.500 0.504 0.000  0.08
4 Sc 0.751 0.081 0.502  0.10

## Properties
- magnetization (μB/f.u.) = 6.38
- electronic total energy (eV/atom) = -8.29
- energy of formation from the pure elements (meV/atom) = 44
- ΔE to the lowest computed polymorph (eV/atom) = 0.000
- SG = Imm2 (44)

(14)
Density functional theory data (GGA-PBE) for an optimized crystal structure of PuSc3.

a b c (Å): 5.269 3.241 5.727
angles (deg): 90.00 90.00 90.00
Site moments in Bohr magnetons follow the coordinates.
Fractional positions:
1 Pu 0.000 0.000 0.996  5.43
2 Sc 0.500 0.000 0.673  0.05
3 Sc 0.500 0.500 0.170  0.07
4 Sc 0.000 0.500 0.494  0.14

## Properties
- magnetization (μB/f.u.) = 6.20
- electronic total energy (eV/atom) = -8.27
- energy of formation from the pure elements (meV/atom) = 63
- ΔE to the lowest computed polymorph (eV/atom) = 0.018
- SG = Pmm2 (25)

(15)
Density functional theory data (GGA-PBE) for an optimized crystal structure of PuSc3.

a b c (Å): 4.638 4.638 5.628
angles (deg): 114.33 114.33 90.00
Site moments in Bohr magnetons follow the coordinates.
Fractional positions:
1 Pu 0.000 0.000 0.000  5.53
2 Sc 0.500 0.500 0.000  0.18
3 Sc 0.250 0.750 0.500  0.24
4 Sc 0.750 0.250 0.500  0.24

## Properties
- magnetization (μB/f.u.) = 7.03
- electronic total energy (eV/atom) = -8.22
- energy of formation from the pure elements (meV/atom) = 107
- ΔE to the lowest computed polymorph (eV/atom) = 0.063
- SG = I4/mmm (139)

(16)
Density functional theory data (GGA-PBE) for an optimized crystal structure of PuSc3.

a b c (Å): 4.601 9.198 9.263
angles (deg): 90.00 90.00 90.00
Site moments in Bohr magnetons follow the coordinates.
Fractional positions:
1 Sc 0.250 0.124 0.750  -0.06
2 Sc 0.250 0.877 0.499  0.08
3 Pu 0.750 0.373 0.250  5.48
4 Sc 0.250 0.624 0.250  -0.06
5 Sc 0.250 0.877 0.001  0.08
6 Pu 0.250 0.127 0.250  5.48
7 Sc 0.750 0.876 0.250  -0.06
8 Sc 0.750 0.623 0.001  0.08
9 Sc 0.750 0.376 0.750  -0.06
10 Pu 0.250 0.627 0.750  5.48
11 Sc 0.750 0.623 0.499  0.08
12 Pu 0.750 0.873 0.750  5.48
13 Sc 0.250 0.377 0.999  0.08
14 Sc 0.750 0.123 0.999  0.08
15 Sc 0.750 0.123 0.501  0.08
16 Sc 0.250 0.377 0.501  0.08

## Properties
- magnetization (μB/f.u.) = 6.03
- electronic total energy (eV/atom) = -8.26
- energy of formation from the pure elements (meV/atom) = 75
- ΔE to the lowest computed polymorph (eV/atom) = 0.031
- SG = Cmcm (63)

(17)
Density functional theory data (GGA-PBE) for an optimized crystal structure of Pu5Sc.

a b c (Å): 4.931 4.304 6.158
angles (deg): 110.46 90.00 90.00
Site moments in Bohr magnetons follow the coordinates.
Fractional positions:
1 Sc 0.000 0.000 0.000  0.00
2 Pu 0.500 0.146 0.292  4.49
3 Pu 0.000 0.704 0.408  -2.32
4 Pu 0.500 0.500 0.000  -4.14
5 Pu 0.000 0.296 0.592  -2.32
6 Pu 0.500 0.854 0.708  4.49

## Properties
- magnetization (μB/f.u.) = 0.25
- electronic total energy (eV/atom) = -12.77
- energy of formation from the pure elements (meV/atom) = 227
- SG = Cmmm (65)

(18)
Density functional theory data (GGA-PBE) for an optimized crystal structure of PuSc3.

a b c (Å): 5.194 5.194 5.194
angles (deg): 60.00 60.00 60.00
Site moments in Bohr magnetons follow the coordinates.
Fractional positions:
1 Pu 0.500 0.500 0.500  5.29
2 Sc 0.750 0.750 0.750  0.08
3 Sc 0.000 0.000 0.000  -0.06
4 Sc 0.250 0.250 0.250  0.08

## Properties
- magnetization (μB/f.u.) = 5.71
- electronic total energy (eV/atom) = -8.20
- energy of formation from the pure elements (meV/atom) = 131
- ΔE to the lowest computed polymorph (eV/atom) = 0.086
- SG = Fm-3m (225)

(19)
Density functional theory data (GGA-PBE) for an optimized crystal structure of PuSc3Se6.

a b c (Å): 3.942 11.212 11.339
angles (deg): 109.47 90.00 90.00
Site moments in Bohr magnetons follow the coordinates.
Fractional positions:
1 Se 0.250 0.877 0.536  -0.10
2 Sc 0.750 0.156 0.085  0.01
3 Se 0.250 0.608 0.940  -0.01
4 Se 0.750 0.123 0.464  -0.10
5 Pu 0.750 0.049 0.695  5.10
6 Sc 0.250 0.321 0.501  0.01
7 Sc 0.250 0.560 0.162  0.01
8 Sc 0.750 0.679 0.499  0.01
9 Se 0.750 0.479 0.616  -0.01
10 Se 0.250 0.266 0.729  -0.05
11 Se 0.750 0.392 0.060  -0.01
12 Sc 0.250 0.844 0.915  0.01
13 Se 0.750 0.918 0.093  -0.04
14 Pu 0.250 0.951 0.305  5.10
15 Se 0.750 0.734 0.271  -0.05
16 Se 0.250 0.082 0.907  -0.04
17 Se 0.250 0.202 0.250  -0.04
18 Sc 0.750 0.440 0.838  0.01
19 Se 0.750 0.798 0.750  -0.04
20 Se 0.250 0.521 0.384  -0.01

## Properties
- magnetization (μB/f.u.) = 5.00
- uncorrected formation energy (eV per formula unit) = -16.155
- electronic total energy (eV/atom) = -7.04
- SG = P2_1/m (11)

(20)
Density functional theory data (GGA-PBE) for an optimized crystal structure of Pu4Sc3Se8.

a b c (Å): 8.074 8.041 8.041
angles (deg): 89.91 120.31 120.31
Site moments in Bohr magnetons follow the coordinates.
Fractional positions:
1 Se 0.514 0.265 0.265  0.02
2 Se 0.486 0.735 0.735  0.02
3 Pu 0.000 0.000 0.000  -5.17
4 Sc 0.500 0.500 0.500  0.04
5 Se 0.500 0.744 0.256  -0.06
6 Se 0.000 0.743 0.257  -0.02
7 Se 0.014 0.264 0.264  -0.05
8 Pu 0.500 0.000 0.000  5.38
9 Se 0.986 0.736 0.736  -0.05
10 Sc 0.500 0.000 0.500  0.08
11 Pu 0.000 0.000 0.500  5.26
12 Se 0.500 0.256 0.744  -0.06
13 Pu 0.000 0.500 0.000  5.26
14 Sc 0.500 0.500 0.000  0.08
15 Se 0.000 0.257 0.743  -0.02

## Properties
- magnetization (μB/f.u.) = 11.48
- uncorrected formation energy (eV per formula unit) = -23.108
- electronic total energy (eV/atom) = -8.49
- SG = C2/m (12)